Here is a relaxed structure of YTh2Rh from Alexandria via LeMat-Bulk. Energies are from PBE.

Cell: 6.192 6.192 10.039 Å, 90.00 90.00 144.26°
Sites, in units of the cell vectors:
Y  0.084  0.916  0.750
Y  0.916  0.084  0.250
Th  0.363  0.637  0.560
Th  0.363  0.637  0.940
Th  0.637  0.363  0.060
Th  0.637  0.363  0.440
Rh  0.207  0.793  0.250
Rh  0.793  0.207  0.750

Properties
uncorrected energy: -61.05 eV per cell
formation energy from the elements: -468 meV/atom
D(E_F): 1.2825 states/eV per atom
SG: Cmcm (63)